(1)
Here is La7Nd2 after structural relaxation from Alexandria. Energies are from GGA-PBE.

## Properties
E, eV/atom: -4.89
Density of states at the Fermi level, states/eV/f.u.: 15.2
Space group: P-31m (162)
Crystal system: trigonal

Cell lengths 6.438, 6.438, 9.065 Å; angles 90.00, 90.00, 120.00 degrees
Positions (direct):
La: 0.000 0.000 0.000
La: 0.666 0.000 0.334
La: 0.000 0.666 0.334
La: 0.334 0.334 0.334
La: 0.000 0.334 0.666
La: 0.334 0.000 0.666
La: 0.666 0.666 0.666
Nd: 0.333 0.667 0.000
Nd: 0.667 0.333 0.000

***

(2)
Here is LaNd after structural relaxation from Alexandria. Energies are from GGA-PBE.

## Properties
E, eV/atom: -4.83
Density of states at the Fermi level, states/eV/f.u.: 3.7
Space group: R-3m (166)
Crystal system: trigonal

Cell lengths 3.709, 3.709, 12.326 Å; angles 81.35, 81.35, 60.00 degrees
Positions (direct):
La: 0.625 0.625 0.126
La: 0.375 0.375 0.874
Nd: 0.126 0.126 0.622
Nd: 0.874 0.874 0.378

***

(3)
Here is LaNd after structural relaxation from Alexandria. Energies are from GGA-PBE.

## Properties
E, eV/atom: -4.83
Density of states at the Fermi level, states/eV/f.u.: 3.8
Space group: C2/m (12)
Crystal system: monoclinic

Cell lengths 3.713, 7.403, 8.311 Å; angles 102.78, 102.91, 90.00 degrees
Positions (direct):
La: 0.834 0.668 0.667
La: 0.500 0.500 0.000
La: 0.166 0.332 0.333
Nd: 0.833 0.166 0.666
Nd: 0.500 0.000 0.000
Nd: 0.167 0.834 0.334

***

(4)
Here is La4Nd after structural relaxation from Alexandria. Energies are from GGA-PBE.

## Properties
E, eV/atom: -4.88
Density of states at the Fermi level, states/eV/f.u.: 10.2
Space group: I4/m (87)
Crystal system: tetragonal

Cell lengths 5.247, 6.435, 6.435 Å; angles 80.43, 65.94, 65.94 degrees
Positions (direct):
La: 0.200 0.200 0.399
La: 0.600 0.601 0.200
La: 0.800 0.800 0.601
La: 0.400 0.399 0.800
Nd: 0.000 0.000 0.000